1.
{
  "formula": "TiCu2N2",
  "functional": "PBE-GGA",
  "state": "optimized geometry",
  "dos_at_fermi_per_ev_cell": 2.5,
  "polymorph_energy_mev_per_atom": 0.0,
  "total_magnetization_mub_per_cell": 0.00,
  "e_tot_ev_per_cell": -30.0,
  "cell": [[3.771, 0.000, 0.000], [0.000, 3.771, 0.000], [1.886, 1.886, 3.690]],
  "species": ["Cu", "Cu", "Ti", "N", "N"],
  "fractional_positions": [[0.657, 0.657, 0.685], [0.343, 0.343, 0.315], [0.000, 0.000, 0.000], [0.750, 0.250, 0.500], [0.250, 0.750, 0.500]]
}

---

2.
{
  "formula": "Li2NiB10",
  "functional": "PBE-GGA",
  "state": "optimized geometry",
  "dos_at_fermi_per_ev_cell": 6.9,
  "total_magnetization_mub_per_cell": 0.00,
  "e_tot_ev_per_cell": -152.2,
  "formation_enthalpy_0k_ev_per_atom": 0.020,
  "cell": [[4.179, 0.000, 0.000], [0.000, 5.521, 0.000], [0.000, 0.000, 11.068]],
  "species": ["B", "B", "B", "B", "B", "B", "B", "B", "B", "B", "B", "B", "B", "B", "B", "B", "B", "B", "B", "B", "Ni", "Ni", "Li", "Li", "Li", "Li"],
  "fractional_positions": [[0.000, 0.478, 0.685], [0.000, 0.328, 0.202], [0.000, 0.383, 0.046], [0.000, 0.883, 0.454], [0.000, 0.828, 0.298], [0.696, 0.700, 0.384], [0.000, 0.978, 0.815], [0.000, 0.522, 0.315], [0.000, 0.617, 0.954], [0.000, 0.022, 0.185], [0.304, 0.700, 0.384], [0.696, 0.300, 0.616], [0.696, 0.800, 0.884], [0.304, 0.800, 0.884], [0.696, 0.200, 0.116], [0.000, 0.672, 0.798], [0.304, 0.200, 0.116], [0.000, 0.117, 0.546], [0.000, 0.172, 0.702], [0.304, 0.300, 0.616], [0.000, 0.500, 0.500], [0.000, 0.000, 0.000], [0.500, 0.232, 0.381], [0.500, 0.768, 0.619], [0.500, 0.732, 0.119], [0.500, 0.268, 0.881]]
}